(1)
Below is a relaxed Ba4Th3TaN8 crystal, with properties calculated at the PBE level.

Output
symmetry	R-3m
density of states at the Fermi level	2.4	states/eV per cell
final energy	-125.267	eV/f.u.
E_form (uncorrected)	-1.054	eV/atom
magnetic moment	0.000	μB per cell

```
Ba4Th3TaN8
1.0
7.317 0.000 0.000
0.000 7.685 0.247
-3.658 -3.649 5.180
Ba Th Ta N
4 3 1 8
Direct
0.500 0.000 0.000 Ba
0.500 0.000 0.500 Ba
0.000 0.000 0.000 Ba
0.000 0.000 0.500 Ba
0.500 0.500 0.000 Th
0.500 0.500 0.500 Th
0.000 0.500 0.500 Th
0.000 0.500 0.000 Ta
0.212 0.683 0.971 N
0.212 0.683 0.423 N
0.271 0.312 0.541 N
0.759 0.683 0.971 N
0.241 0.317 0.029 N
0.729 0.688 0.459 N
0.788 0.317 0.577 N
0.788 0.317 0.029 N
```


(2)
Below is a relaxed SmMgSc2 crystal, with properties calculated at the PBE level.

Output
symmetry	P4/mmm
density of states at the Fermi level	5.8	states/eV per cell
final energy	-18.928	eV/f.u.
magnetic moment	0.000	μB per cell
energy of formation from the pure elements	1	kJ per mole of atoms
polymorph energy (0 for the lowest one)	13.0	meV/atom

```
SmMgSc2
1.0
3.484 0.000 0.000
0.000 3.484 0.000
0.000 0.000 8.607
Sc Mg Sm
2 1 1
Direct
0.000 0.000 0.777 Sc
0.000 0.000 0.223 Sc
0.500 0.500 0.000 Mg
0.500 0.500 0.500 Sm
```


(3)
Below is a relaxed ZnOsW2 crystal, with properties calculated at the PBE level.

Output
symmetry	I4/mmm
density of states at the Fermi level	3.9	states/eV per cell
final energy	-37.207	eV/f.u.
magnetic moment	0.000	μB per cell
energy of formation from the pure elements	29	kJ per mole of atoms

```
ZnOsW2
1.0
4.945 0.008 0.000
1.983 4.530 0.000
-3.464 -2.269 2.703
Os W Zn
1 2 1
Direct
0.750 0.250 0.500 Os
0.000 0.000 0.000 W
0.500 0.500 0.000 W
0.250 0.750 0.500 Zn
```


(4)
Below is a relaxed YRuSe2 crystal, with properties calculated at the PBE level.

Output
symmetry	Cmmm
density of states at the Fermi level	1.5	states/eV per cell
final energy	-25.312	eV/f.u.
E_form (uncorrected)	-0.651	eV/atom
magnetic moment	0.000	μB per cell
polymorph energy (0 for the lowest one)	153.1	meV/atom

```
YRuSe2
1.0
-3.893 0.424 0.692
-0.901 -3.479 -2.938
0.129 -3.597 2.931
Ru Se Y
1 2 1
Direct
0.500 0.750 0.750 Ru
0.000 0.957 0.957 Se
0.000 0.543 0.543 Se
0.500 0.250 0.250 Y
```


(5)
Below is a relaxed Ba2CrAg crystal, with properties calculated at the PBE level.

Output
symmetry	Imm2
density of states at the Fermi level	3.1	states/eV per cell
final energy	-15.019	eV/f.u.
magnetic moment	4.435	μB per cell
energy of formation from the pure elements	31	kJ per mole of atoms
polymorph energy (0 for the lowest one)	92.3	meV/atom

```
Ba2CrAg
1.0
-5.237 4.288 2.888
-5.034 -2.216 4.889
7.195 0.285 -1.521
Ag Ba Cr
1 2 1
Direct
0.312 0.812 0.500 Ag
0.011 0.011 0.000 Ba
0.737 0.237 0.500 Ba
0.440 0.440 0.000 Cr
```


(6)
Below is a relaxed Na2ZnB6O11 crystal, with properties calculated at the PBE level.

Output
symmetry	C2/c
density of states at the Fermi level	0.0	states/eV per cell
final energy	-144.564	eV/f.u.
E_form (uncorrected)	-2.302	eV/atom
magnetic moment	0.000	μB per cell

```
Na2ZnB6O11
1.0
-0.547 -3.750 -5.404
-1.039 -6.311 1.631
-11.251 -2.222 -1.596
Na Zn B O
4 2 12 22
Direct
0.265 0.445 0.537 Na
0.445 0.265 0.037 Na
0.735 0.555 0.463 Na
0.555 0.735 0.963 Na
0.127 0.873 0.750 Zn
0.873 0.127 0.250 Zn
0.784 0.744 0.654 B
0.744 0.784 0.154 B
0.894 0.294 0.988 B
0.294 0.894 0.488 B
0.907 0.330 0.765 B
0.330 0.907 0.265 B
0.670 0.093 0.735 B
0.093 0.670 0.235 B
0.106 0.706 0.012 B
0.706 0.106 0.512 B
0.256 0.216 0.846 B
0.216 0.256 0.346 B
0.740 0.844 0.750 O
0.844 0.740 0.250 O
0.791 0.378 0.889 O
0.378 0.791 0.389 O
0.850 0.520 0.662 O
0.520 0.850 0.162 O
0.127 0.231 0.966 O
0.231 0.127 0.466 O
0.769 0.873 0.534 O
0.873 0.769 0.034 O
0.865 0.135 0.750 O
0.135 0.865 0.250 O
0.279 0.764 0.603 O
0.764 0.279 0.103 O
0.156 0.260 0.750 O
0.260 0.156 0.250 O
0.480 0.150 0.838 O
0.150 0.480 0.338 O
0.236 0.721 0.897 O
0.721 0.236 0.397 O
0.622 0.209 0.611 O
0.209 0.622 0.111 O
```


(7)
Below is a relaxed MgZn2Co crystal, with properties calculated at the PBE level.

Output
symmetry	R3m
density of states at the Fermi level	3.9	states/eV per cell
final energy	-10.650	eV/f.u.
magnetic moment	1.315	μB per cell
energy of formation from the pure elements	14	kJ per mole of atoms

```
MgZn2Co
1.0
8.998 0.020 0.012
8.557 2.783 0.012
8.557 1.366 2.425
Co Mg Zn
1 1 2
Direct
0.503 0.503 0.503 Co
0.757 0.757 0.757 Mg
0.997 0.997 0.997 Zn
0.243 0.243 0.243 Zn
```


(8)
Below is a relaxed La3DyY3 crystal, with properties calculated at the PBE level.

Output
symmetry	R-3
density of states at the Fermi level	20.8	states/eV per cell
final energy	-37.818	eV/f.u.
magnetic moment	0.000	μB per cell
energy of formation from the pure elements	13	kJ per mole of atoms

```
La3DyY3
1.0
9.503 0.000 0.000
4.751 8.230 0.000
4.751 2.743 6.275
La Dy Y
6 2 6
Direct
0.167 0.733 0.230 La
0.870 0.167 0.230 La
0.733 0.870 0.230 La
0.267 0.130 0.770 La
0.130 0.833 0.770 La
0.833 0.267 0.770 La
0.408 0.408 0.775 Dy
0.592 0.592 0.225 Dy
0.556 0.689 0.778 Y
0.689 0.977 0.778 Y
0.977 0.556 0.778 Y
0.023 0.444 0.222 Y
0.311 0.023 0.222 Y
0.444 0.311 0.222 Y
```